No. 1
Entry from the Alexandria database: an optimized crystal structure of RhPb (PBE).

Computed properties:
* VASP energy: -5.50 eV per atom
* total magnetic moment: 0.00 μB per cell
* formation energy: 0.03 eV per atom

```
RhPb
1.0
-4.7098 -1.9395 1.6882
-3.1915 -0.4839 4.2865
-5.5392 5.3553 0.2369
Rh Pb
3 3
Cartesian
-3.6680 3.3531 0.2650
-4.0687 0.9917 1.8220
-7.1505 4.3910 1.7186
-7.5654 -2.2367 5.6738
-9.4377 1.6201 4.6073
-6.1910 0.1878 3.5125
```

No. 2
Entry from the Alexandria database: an optimized crystal structure of Rh3Pb (PBE).

Computed properties:
* VASP energy: -6.19 eV per atom
* total magnetic moment: 0.05 μB per cell
* formation energy: 0.25 eV per atom

```
Rh3Pb
1.0
3.0144 0.0000 0.0000
0.0000 3.0144 0.0000
0.0000 0.0000 7.3896
Rh Pb
3 1
Cartesian
1.5072 1.5072 2.0337
0.0000 0.0000 3.6948
1.5072 1.5072 5.3559
0.0000 0.0000 0.0000
```

No. 3
Entry from the Alexandria database: an optimized crystal structure of Rh3Pb (PBE).

Computed properties:
* VASP energy: -6.31 eV per atom
* total magnetic moment: 0.00 μB per cell
* formation energy: 0.13 eV per atom

```
Rh3Pb
1.0
-3.1777 1.6683 3.1429
-2.5383 -1.1521 -3.8715
-0.3857 -2.7567 1.0732
Rh Pb
3 1
Cartesian
-2.8580 0.2581 -0.3643
-1.7817 -0.5442 2.1081
-1.4620 -1.9544 -1.3992
0.0000 0.0000 0.0000
```

No. 4
Entry from the Alexandria database: an optimized crystal structure of Rh3Pb5 (PBE).

Computed properties:
* offset from the most stable computed form: 199 meV/atom
* VASP energy: -4.88 eV per atom
* total magnetic moment: 0.00 μB per cell
* formation energy: 0.19 eV per atom

```
Rh3Pb5
1.0
-1.5432 5.9074 2.2485
-0.4063 0.7232 -6.4534
-4.2342 -1.1582 0.1368
Pb Rh
5 3
Cartesian
-0.7716 2.9537 1.1243
-0.2032 0.3616 -3.2267
-3.5029 4.1341 -2.9206
0.0000 0.0000 0.0000
-2.6809 1.3383 -1.1476
-0.9748 3.3153 -2.1025
-3.3531 3.9273 -0.0348
-2.8307 1.5451 -4.0333
```

No. 5
Entry from the Alexandria database: an optimized crystal structure of Rh3Pb (PBE).

Computed properties:
* VASP energy: -6.05 eV per atom
* total magnetic moment: 0.00 μB per cell
* formation energy: 0.39 eV per atom

```
Rh3Pb
1.0
1.5205 -2.6336 0.0000
1.5205 2.6336 0.0000
0.0000 0.0000 8.5684
Rh Pb
3 1
Cartesian
1.5205 -0.8779 2.2783
1.5205 -0.8779 6.2902
0.0000 0.0000 4.2842
0.0000 0.0000 0.0000
```

No. 6
Entry from the Alexandria database: an optimized crystal structure of Rh2Pb (PBE).

Computed properties:
* VASP energy: -5.82 eV per atom
* total magnetic moment: 0.00 μB per cell
* formation energy: 0.32 eV per atom

```
Rh2Pb
1.0
0.0000 3.1082 3.1082
3.1082 0.0000 3.1082
3.1082 3.1082 0.0000
Pb Rh
1 2
Cartesian
0.0000 0.0000 0.0000
4.6623 4.6623 4.6623
1.5541 1.5541 1.5541
```

No. 7
Entry from the Alexandria database: an optimized crystal structure of RhPb (PBE).

Computed properties:
* VASP energy: -5.23 eV per atom
* total magnetic moment: 0.00 μB per cell
* formation energy: 0.30 eV per atom

```
RhPb
1.0
10.7854 0.0000 0.0000
0.0000 10.7854 0.0000
0.0000 0.0000 4.1852
Pb Rh
8 8
Cartesian
3.1489 10.2846 2.0926
10.2846 7.6365 2.0926
8.5416 4.8919 0.0000
5.8934 8.5416 0.0000
0.5008 3.1489 2.0926
7.6365 0.5008 2.0926
2.2438 5.8934 0.0000
4.8919 2.2438 0.0000
7.6459 8.6846 2.0926
7.4934 2.2532 0.0000
2.1008 7.6459 2.0926
3.1394 2.1008 2.0926
8.6846 3.1394 2.0926
3.2919 8.5321 0.0000
8.5321 7.4934 0.0000
2.2532 3.2919 0.0000
```

No. 8
Entry from the Alexandria database: an optimized crystal structure of RhPb (PBE).

Computed properties:
* VASP energy: -5.37 eV per atom
* total magnetic moment: 0.00 μB per cell
* formation energy: 0.16 eV per atom

```
RhPb
1.0
1.5913 5.5030 0.0014
-1.5913 5.5030 0.0014
0.0000 0.6427 7.3370
Pb Rh
3 3
Cartesian
0.0000 4.4249 2.0161
0.0000 7.1238 4.7549
0.0000 4.2226 6.0495
0.0000 1.0030 7.1055
0.0000 1.1155 2.5313
0.0000 7.9915 0.7827
```

No. 9
Entry from the Alexandria database: an optimized crystal structure of RhPb (PBE).

Computed properties:
* VASP energy: -5.21 eV per atom
* total magnetic moment: 0.00 μB per cell
* formation energy: 0.32 eV per atom

```
RhPb
1.0
0.0000 3.4256 3.4256
3.4256 0.0000 3.4256
3.4256 3.4256 0.0000
Rh Pb
2 2
Cartesian
5.1384 5.1384 5.1384
3.4256 3.4256 3.4256
0.0000 0.0000 0.0000
1.7128 1.7128 1.7128
```

No. 10
Entry from the Alexandria database: an optimized crystal structure of RhPb8 (PBE).

Computed properties:
* VASP energy: -4.04 eV per atom
* total magnetic moment: 0.00 μB per cell
* formation energy: 0.08 eV per atom

```
RhPb8
1.0
-5.1389 5.1389 2.4461
5.1389 -5.1389 2.4461
5.1389 5.1389 -2.4461
Pb Rh
8 1
Cartesian
0.0000 7.0781 0.0000
1.6031 -1.6031 2.4461
3.5358 3.5358 0.0000
7.0781 0.0000 0.0000
0.0000 3.1996 0.0000
3.1996 0.0000 0.0000
-1.6031 1.6031 2.4461
1.6031 1.6031 2.4461
0.0000 0.0000 0.0000
```

No. 11
Entry from the Alexandria database: an optimized crystal structure of RhPb (PBE).

Computed properties:
* VASP energy: -4.93 eV per atom
* total magnetic moment: 0.00 μB per cell
* formation energy: 0.60 eV per atom

```
RhPb
1.0
-7.2303 -1.0082 1.5949
1.8833 -4.2439 5.8549
0.1158 6.0671 4.3604
Rh Pb
6 6
Cartesian
-2.2027 -3.6870 5.1886
1.0285 2.4284 6.1978
-3.1443 -1.5651 2.2612
-5.3648 2.2774 3.3764
-1.7497 2.7815 2.5789
0.9706 -0.6051 4.0175
-3.5862 1.0127 1.8876
-0.8659 -2.3740 3.3262
-3.5283 4.0462 4.0678
0.5287 1.9726 3.6439
1.4704 -0.1493 6.5714
-4.4810 -2.8781 4.1236
```

No. 12
Entry from the Alexandria database: an optimized crystal structure of RhPb (PBE).

Computed properties:
* VASP energy: -5.41 eV per atom
* total magnetic moment: 0.00 μB per cell
* formation energy: 0.12 eV per atom

```
RhPb
1.0
9.7926 0.0000 0.0000
0.0000 9.7926 0.0000
0.0000 0.0000 3.9822
Pb Rh
8 8
Cartesian
6.9282 3.7200 1.9911
2.8644 6.0726 1.9911
3.7200 2.8644 1.9911
2.0319 8.6163 0.0000
7.7607 1.1763 0.0000
6.0726 6.9282 1.9911
8.6163 7.7607 0.0000
1.1763 2.0319 0.0000
5.7910 0.9664 1.9911
0.8947 5.8627 0.0000
5.8627 8.8979 0.0000
8.8979 3.9299 0.0000
0.9664 4.0016 1.9911
4.0016 8.8262 1.9911
3.9299 0.8947 0.0000
8.8262 5.7910 1.9911
```

No. 13
Entry from the Alexandria database: an optimized crystal structure of RhPb (PBE).

Computed properties:
* VASP energy: -5.42 eV per atom
* total magnetic moment: 0.00 μB per cell
* formation energy: 0.11 eV per atom

```
RhPb
1.0
-1.2474 -5.1360 2.4395
-4.7966 -0.9112 3.1699
1.7771 2.1174 -5.1228
Rh Pb
2 2
Cartesian
-3.9389 -0.9401 1.8259
-0.3280 -2.9896 -1.3394
-2.1534 -3.0417 1.4506
-2.1134 -0.8880 -0.9641
```

No. 14
Entry from the Alexandria database: an optimized crystal structure of Rh3Pb5 (PBE).

Computed properties:
* offset from the most stable computed form: 0 meV/atom
* VASP energy: -5.08 eV per atom
* total magnetic moment: 0.00 μB per cell
* formation energy: -0.01 eV per atom

```
Rh3Pb5
1.0
-4.6293 7.5840 -1.7046
1.8599 -7.0617 -4.0950
-3.5338 -3.6253 7.5634
Rh Pb
6 10
Cartesian
-3.0263 -2.7714 -0.9739
-5.3982 -3.1533 3.1855
-3.0677 -5.7877 2.3569
-0.9012 0.0437 -1.4203
-3.2730 -0.3376 2.7391
-3.2317 2.6783 -0.5918
0.3955 -5.3440 -2.8096
-1.4089 -1.5148 0.8495
-6.6949 2.2346 4.5748
-4.8906 -1.5945 0.9160
-1.3310 -4.8330 0.2318
-3.6551 0.1420 -1.6429
-4.8389 -0.9871 4.9435
-4.9684 1.7238 1.5334
-1.4604 -2.1223 -3.1783
-2.6444 -3.2516 3.4083
```

No. 15
Entry from the Alexandria database: an optimized crystal structure of Rh4Pb5 (PBE).

Computed properties:
* offset from the most stable computed form: 384 meV/atom
* VASP energy: -5.03 eV per atom
* total magnetic moment: 0.00 μB per cell
* formation energy: 0.30 eV per atom

```
Rh4Pb5
1.0
6.0884 0.5107 -3.2721
-2.8467 -2.6253 5.7481
-2.8515 -4.5323 -4.4003
Rh Pb
4 5
Cartesian
-2.0588 -2.5861 0.4870
2.0673 -2.5685 -4.9003
1.1695 -1.4530 -2.7722
-3.6394 -4.5714 0.8608
0.0000 0.0000 0.0000
0.0421 -1.6114 2.8318
-0.7958 -3.6142 -2.0448
1.1859 -3.0326 0.1204
3.1996 -0.5032 -0.3559
```

No. 16
Entry from the Alexandria database: an optimized crystal structure of RhPb (PBE).

Computed properties:
* VASP energy: -5.47 eV per atom
* total magnetic moment: 0.00 μB per cell
* formation energy: 0.06 eV per atom

```
RhPb
1.0
-4.9958 -5.6386 -4.3391
8.6256 -0.1092 -1.0800
0.3719 -2.8357 3.2567
Rh Pb
6 6
Cartesian
2.6469 -3.1047 -1.5635
-0.5337 -7.1247 -1.8164
-1.3503 -5.1632 -0.0153
5.3520 -3.4202 -2.1471
1.3548 -5.4787 -0.5989
4.5354 -1.4588 -0.3460
2.7511 -3.2235 1.2053
1.2506 -5.3600 -3.3677
-0.0857 -2.9579 -1.1236
6.2538 -3.3882 0.6619
-2.2521 -5.1953 -2.8243
4.0873 -5.6255 -1.0388
```

No. 17
Entry from the Alexandria database: an optimized crystal structure of Rh2Pb (PBE).

Computed properties:
* VASP energy: -5.93 eV per atom
* total magnetic moment: 0.65 μB per cell
* formation energy: 0.21 eV per atom

```
Rh2Pb
1.0
-1.5273 2.0052 4.2451
1.5273 -2.0052 4.2451
1.5273 2.0052 -4.2451
Pb Rh
1 2
Cartesian
0.0000 0.0000 0.0000
0.0000 0.0000 2.8127
0.0000 0.0000 5.6776
```

No. 18
Entry from the Alexandria database: an optimized crystal structure of RhPb (PBE).

Computed properties:
* VASP energy: -5.39 eV per atom
* total magnetic moment: 0.00 μB per cell
* formation energy: 0.14 eV per atom

```
RhPb
1.0
6.0014 -2.1740 -0.0188
6.0014 2.1740 -0.0188
5.2255 0.0000 3.6658
Rh Pb
2 2
Cartesian
11.4119 0.0000 2.4032
5.8163 0.0000 1.2249
1.6421 0.0000 0.3458
15.5862 0.0000 3.2823
```

No. 19
Entry from the Alexandria database: an optimized crystal structure of RhPb (PBE).

Computed properties:
* VASP energy: -5.29 eV per atom
* total magnetic moment: 0.00 μB per cell
* formation energy: 0.24 eV per atom

```
RhPb
1.0
8.3269 0.0000 0.0000
0.0000 13.5398 0.0000
0.0000 0.0000 6.5967
Pb Rh
16 16
Cartesian
2.5601 6.7699 3.2983
0.4784 3.3850 1.6492
6.7236 6.7699 0.0000
7.8486 10.1549 1.6492
4.6418 10.1549 1.6492
2.5601 0.0000 0.0000
5.7668 0.0000 0.0000
4.6418 3.3850 4.9475
6.7236 0.0000 3.2983
0.4784 10.1549 4.9475
1.6034 6.7699 0.0000
3.6851 10.1549 4.9475
5.7668 6.7699 3.2983
1.6034 0.0000 3.2983
7.8486 3.3850 4.9475
3.6851 3.3850 1.6492
4.1635 12.2324 3.2983
6.2452 8.8475 4.9475
0.0000 12.2324 0.0000
6.2452 4.6923 1.6492
6.2452 11.4622 4.9475
4.1635 8.0773 0.0000
0.0000 8.0773 3.2983
6.2452 2.0776 1.6492
4.1635 1.3074 3.2983
2.0817 4.6923 4.9475
2.0817 8.8475 1.6492
0.0000 5.4625 3.2983
2.0817 11.4622 1.6492
4.1635 5.4625 0.0000
0.0000 1.3074 0.0000
2.0817 2.0776 4.9475
```

No. 20
Entry from the Alexandria database: an optimized crystal structure of Rh2Pb (PBE).

Computed properties:
* VASP energy: -6.01 eV per atom
* total magnetic moment: 0.00 μB per cell
* formation energy: 0.12 eV per atom

```
Rh2Pb
1.0
2.3812 1.8651 5.6483
-4.1959 1.5123 -4.5999
-3.0218 -2.2498 2.0168
Pb Rh
2 4
Cartesian
-0.5266 0.1433 6.1615
-4.3100 0.9842 -3.0963
-2.6395 0.0300 2.8693
-4.8051 -0.0862 -0.5051
-2.1971 1.0976 0.1959
-0.0314 1.2137 3.5703
```